(1)
Pr6NdY5: optimized geometry, PBE.

The formation enthalpy at 0 K comes out at 0.013 eV per atom. The space group is No. 65. The value obtained for the energy above the most stable polymorph in this dataset is 0 meV/atom. As for the crystal system: orthorhombic.

```
12
Lattice="11.4184 -0.7664 0.0002 2.6587 4.4571 -0.0016 1.3293 2.2257 7.7989" Properties=species:S:1:pos:R:3 pbc="T T T"
Pr 4.8572 3.1441 2.6004
Pr 9.2200 0.5449 2.6010
Pr 6.1864 5.3715 5.1964
Pr 4.8577 3.1422 7.7984
Pr 10.5487 2.7742 -0.0010
Pr 10.5492 2.7724 5.1970
Y 8.3680 4.0728 2.5958
Y 12.7474 1.4609 2.6126
Y 2.6589 4.4555 5.1848
Y 7.0385 1.8454 -0.0007
Y 7.0383 1.8436 5.2016
Nd 0.0000 0.0000 0.0000
```

=====

(2)
RbCaRu2: optimized geometry, PBE.

The formation enthalpy at 0 K comes out at 1.469 eV per atom. The space group is No. 122. The value obtained for the energy above the most stable polymorph in this dataset is 0 meV/atom. As for the crystal system: tetragonal.

```
8
Lattice="-2.0975 6.1863 5.4441 -3.1138 -5.7962 5.3867 -0.2039 -0.0142 6.5786" Properties=species:S:1:pos:R:3 pbc="T T T"
Rb 0.0000 0.0000 0.0000
Rb -2.4535 3.1836 8.7190
Ru -4.6673 0.4154 14.3323
Ru -1.7205 3.0481 5.6411
Ru -2.2899 -2.7626 5.7714
Ru -2.1526 0.0510 9.0741
Ca -2.9617 -2.8077 8.6904
Ca -2.6057 0.1951 5.4154
```

=====

(3)
NbAg2Br8: optimized geometry, PBE.

The space group is No. 12. The value obtained for the formation energy from raw total energies is -297 meV per atom. As for the crystal system: monoclinic.

```
11
Lattice="7.5076 0.0000 0.0000 -3.7538 4.3689 -2.0703 0.0000 1.3585 13.0716" Properties=species:S:1:pos:R:3 pbc="T T T"
Br 3.7538 3.7614 4.5393
Br -2.0037 4.3077 9.9684
Br 3.7538 0.5022 4.3295
Br 5.7574 1.4198 1.0329
Br 1.7501 1.4198 1.0329
Br 0.0000 5.2252 6.6718
Br 0.0000 1.9660 6.4620
Br 2.0036 4.3077 9.9684
Ag 3.7538 2.1317 6.5098
Ag 0.0000 3.5957 4.4915
Nb 0.0000 0.0000 0.0000
```

=====

(4)
KBa2Hg: optimized geometry, PBE.

The formation enthalpy at 0 K comes out at -0.158 eV per atom. The space group is No. 6. As for the crystal system: monoclinic.

```
4
Lattice="4.6916 0.0000 0.0000 0.0000 4.8952 -0.0133 0.0000 2.4858 9.7872" Properties=species:S:1:pos:R:3 pbc="T T T"
K 2.3458 4.6206 6.9476
Ba 2.3458 2.1516 3.2863
Ba 0.0000 4.5952 0.3896
Hg 0.0000 4.5993 4.0240
```

=====

(5)
Cr2NiPb: optimized geometry, PBE.

The formation enthalpy at 0 K comes out at 0.563 eV per atom. The space group is No. 71. As for the crystal system: orthorhombic.

```
4
Lattice="4.9411 -0.0290 -0.1164 2.2177 4.4156 0.1164 -3.5146 -2.2991 2.6060" Properties=species:S:1:pos:R:3 pbc="T T T"
Pb 1.1412 2.1549 1.3612
Cr 3.5800 2.1937 0.0000
Cr 7.1582 4.3863 0.0000
Ni 2.5030 -0.0674 1.2448
```

=====

(6)
Ta2AlSe2: optimized geometry, PBE.

The space group is No. 127. The value obtained for the formation energy from raw total energies is 7 meV per atom. The value obtained for the energy above the most stable polymorph in this dataset is 0 meV/atom. As for the crystal system: tetragonal.

```
10
Lattice="7.5115 0.0000 0.0000 0.0000 7.5115 0.0000 0.0000 0.0000 3.2209" Properties=species:S:1:pos:R:3 pbc="T T T"
Se 2.6959 1.0598 1.6105
Se 6.4517 2.6959 1.6105
Se 1.0598 4.8156 1.6105
Se 4.8156 6.4517 1.6105
Al 0.0000 0.0000 0.0000
Al 3.7557 3.7557 0.0000
Ta 1.1310 2.6247 0.0000
Ta 2.6247 6.3805 0.0000
Ta 4.8868 1.1310 0.0000
Ta 6.3805 4.8868 0.0000
```

=====

(7)
TiAsF: optimized geometry, PBE.

The space group is No. 63. The value obtained for the formation energy from raw total energies is -1685 meV per atom. As for the crystal system: orthorhombic.

```
6
Lattice="-3.1139 3.2134 -2.5429 1.4052 -0.7765 -2.7020 -2.9551 -6.6778 0.3823" Properties=species:S:1:pos:R:3 pbc="T T T"
Ti -1.3161 -2.0677 -1.0042
Ti -3.3477 -2.1732 -3.8584
As -2.6573 -0.2181 -2.2332
As -2.0065 -4.0228 -2.6294
F -4.8555 -2.6905 -2.6659
F 0.1917 -1.5504 -2.1967
```

=====

(8)
Y2ZrMo: optimized geometry, PBE.

The formation enthalpy at 0 K comes out at 0.375 eV per atom. The space group is No. 10. The value obtained for the energy above the most stable polymorph in this dataset is 252 meV/atom. As for the crystal system: monoclinic.

```
4
Lattice="4.9537 0.0000 0.0000 0.0000 3.2313 -0.0024 0.0000 1.8162 5.9748" Properties=species:S:1:pos:R:3 pbc="T T T"
Y 0.0000 2.8465 3.0709
Y 0.0000 4.7246 5.8877
Mo 2.4768 3.7856 4.4793
Zr 2.4768 1.2619 1.4931
```

=====

(9)
In2HgBiH: optimized geometry, PBE.

The space group is No. 123. The total energy comes out at -2.391 eV per atom. As for the crystal system: tetragonal.

```
5
Lattice="-1.0831 -1.7532 5.0038 4.7647 -2.5620 0.1337 1.8160 3.4611 1.6058" Properties=species:S:1:pos:R:3 pbc="T T T"
In 2.3824 -1.2810 0.0669
In -0.5416 -0.8766 2.5019
H 0.0000 0.0000 0.0000
Hg 2.7488 -0.4270 3.3716
Bi 0.9080 1.7306 0.8029
```

=====

(10)
Na8AlSe6: optimized geometry, PBE.

The space group is No. 31. The value obtained for the formation energy from raw total energies is -923 meV per atom. As for the crystal system: orthorhombic.

```
30
Lattice="8.5827 0.0000 0.0000 0.0000 7.7795 0.0000 0.0000 0.0000 12.4327" Properties=species:S:1:pos:R:3 pbc="T T T"
Na 3.8004 5.5927 8.5198
Na 4.7824 6.0766 2.3035
Na 3.2245 0.0000 11.8439
Na 5.3582 3.8897 5.6276
Na 3.8004 2.1868 8.5198
Na 4.7824 1.7029 2.3035
Na 0.5879 5.4941 8.2537
Na 2.2337 0.0000 6.4431
Na 0.5879 2.2854 8.2537
Na 1.8625 2.1852 4.2517
Na 6.3490 3.8897 0.2268
Na 1.8625 5.5943 4.2517
Na 7.9948 6.1751 2.0373
Na 6.7203 1.7046 10.4680
Na 7.9948 1.6044 2.0373
Na 6.7203 6.0749 10.4680
Se 2.4155 3.8897 6.5013
Se 2.1249 2.1329 1.3218
Se 6.4578 6.0227 7.5381
Se 2.0699 0.0000 9.2058
Se 6.4578 1.7568 7.5381
Se 6.1673 0.0000 0.2850
Se 8.4894 0.0000 4.5437
Se 6.5128 3.8897 2.9895
Se 4.1930 3.8897 10.8248
Se 2.1249 5.6465 1.3218
Se 4.3897 0.0000 4.6085
Se 0.0933 3.8897 10.7600
Al 6.4571 0.0000 5.8548
Al 2.1256 3.8897 12.0711
```

=====

(11)
KMn2Pb: optimized geometry, PBE.

The formation enthalpy at 0 K comes out at 0.507 eV per atom. The space group is No. 6. The value obtained for the energy above the most stable polymorph in this dataset is 0 meV/atom. As for the crystal system: monoclinic.

```
4
Lattice="-2.6710 -0.0301 -2.0694 -0.8475 -3.0806 1.1386 -5.6484 0.5155 7.2831" Properties=species:S:1:pos:R:3 pbc="T T T"
Pb -2.9238 -1.5250 3.7960
Mn -1.2223 -2.7970 1.6183
Mn -2.8568 -0.7303 0.9393
K -6.2594 -1.9060 5.3482
```

=====

(12)
CaTcPtCl2: optimized geometry, PBE.

The space group is No. 123. The value obtained for the formation energy from raw total energies is 539 meV per atom. As for the crystal system: tetragonal.

```
5
Lattice="-4.2721 -0.0860 -2.5062 2.2566 -3.4096 -3.7296 -1.4861 -3.9010 2.6671" Properties=species:S:1:pos:R:3 pbc="T T T"
Cl -2.1361 -0.0430 -1.2531
Cl -0.7431 -1.9505 1.3335
Ca 1.1283 -1.7048 -1.8648
Tc -1.7508 -3.6983 -1.7844
Pt 0.0000 0.0000 0.0000
```

=====

(13)
GdIn2Hg: optimized geometry, PBE.

The formation enthalpy at 0 K comes out at -0.397 eV per atom. The space group is No. 123. The value obtained for the energy above the most stable polymorph in this dataset is 0 meV/atom. As for the crystal system: tetragonal.

```
4
Lattice="4.6279 0.0000 0.0000 0.0000 4.6429 0.0000 0.0000 0.0000 4.6429" Properties=species:S:1:pos:R:3 pbc="T T T"
In 0.0000 0.0000 2.3215
In 0.0000 2.3215 0.0000
Hg 2.3139 0.0000 0.0000
Gd 2.3139 2.3215 2.3215
```

=====

(14)
AcAs3Rh: optimized geometry, PBE.

The formation enthalpy at 0 K comes out at -0.373 eV per atom. The space group is No. 221. As for the crystal system: cubic.

```
5
Lattice="4.9162 0.0000 0.0000 0.0000 4.9162 0.0000 0.0000 0.0000 4.9162" Properties=species:S:1:pos:R:3 pbc="T T T"
Ac 2.4581 2.4581 2.4581
As 2.4581 0.0000 0.0000
As 0.0000 0.0000 2.4581
As 0.0000 2.4581 0.0000
Rh 0.0000 0.0000 0.0000
```

=====

(15)
RhPb2Au: optimized geometry, PBE.

The formation enthalpy at 0 K comes out at 0.079 eV per atom. The space group is No. 123. As for the crystal system: tetragonal.

```
4
Lattice="3.4759 0.0000 0.0000 0.0000 3.4759 0.0000 0.0000 0.0000 7.3013" Properties=species:S:1:pos:R:3 pbc="T T T"
Rh 1.7379 1.7379 0.0000
Pb 0.0000 0.0000 5.6340
Pb 0.0000 0.0000 1.6672
Au 1.7379 1.7379 3.6506
```

=====

(16)
AcEr2In2Hg2: optimized geometry, PBE.

The formation enthalpy at 0 K comes out at -0.328 eV per atom. The space group is No. 166. As for the crystal system: trigonal.

```
7
Lattice="-4.7537 -1.4107 -0.6069 -2.4465 -2.2149 3.7504 -5.2489 7.0838 4.0868" Properties=species:S:1:pos:R:3 pbc="T T T"
Hg -5.6904 0.1744 3.0453
Hg -6.7587 3.2839 4.1849
Er -8.3520 -0.2728 4.3722
Er -4.0970 3.7310 2.8580
In -9.4184 2.8312 5.5097
In -3.0307 0.6271 1.7205
Ac 0.0000 0.0000 0.0000
```

=====

(17)
HoInN2: optimized geometry, PBE.

The space group is No. 166. The value obtained for the formation energy from raw total energies is -735 meV per atom. As for the crystal system: trigonal.

```
4
Lattice="3.4337 0.0000 0.0000 1.7168 2.9737 0.0000 1.7168 0.9912 5.3834" Properties=species:S:1:pos:R:3 pbc="T T T"
In 0.0000 0.0000 0.0000
Ho 3.4337 1.9824 2.6917
N 5.1505 2.9737 4.0328
N 1.7169 0.9912 1.3506
```

=====

(18)
Ba2SrScO: optimized geometry, PBE.

The space group is No. 123. The value obtained for the formation energy from raw total energies is -739 meV per atom. As for the crystal system: tetragonal.

```
5
Lattice="-4.0323 -2.6487 -3.2128 -1.9146 -2.1543 4.1790 -3.5438 4.5311 0.7122" Properties=species:S:1:pos:R:3 pbc="T T T"
Ba -1.7719 2.2656 0.3561
Ba -2.0162 -1.3243 -1.6064
Sc -4.7454 -0.1359 0.8392
Sr -0.9573 -1.0772 2.0895
O 0.0000 0.0000 0.0000
```

=====

(19)
TcRh2Cl: optimized geometry, PBE.

The space group is No. 10. The value obtained for the formation energy from raw total energies is 405 meV per atom. The value obtained for the energy above the most stable polymorph in this dataset is 233 meV/atom. As for the crystal system: monoclinic.

```
4
Lattice="3.9665 0.0000 0.0000 0.0000 2.8287 -0.0074 0.0000 1.6796 5.2744" Properties=species:S:1:pos:R:3 pbc="T T T"
Tc 1.9832 1.1271 1.3167
Rh 0.0000 2.5888 2.5996
Rh 0.0000 2.4940 0.0264
Cl 1.9832 3.3812 3.9502
```

=====

(20)
Pa2CuPb: optimized geometry, PBE.

The formation enthalpy at 0 K comes out at 0.424 eV per atom. The space group is No. 166. The value obtained for the energy above the most stable polymorph in this dataset is 298 meV/atom. As for the crystal system: trigonal.

```
4
Lattice="4.1546 0.0000 0.0000 2.0773 3.5980 0.0000 2.0773 1.1993 7.1611" Properties=species:S:1:pos:R:3 pbc="T T T"
Cu 0.0000 0.0000 0.0000
Pb 4.1546 2.3987 3.5806
Pa 2.0773 1.1993 1.4498
Pa 6.2319 3.5980 5.7113
```